# 1
Te2MoIN | PBE | relaxed

## Properties
The value obtained for the density of states at the Fermi level is 1.071 states/eV/atom. As for the space group: P4/mmm, No. 123. Its excess energy over the best structure of this formula in the dataset is 982 meV per atom.

Unit cell a=5.2341 b=5.2341 c=5.8846 alpha=90.00 beta=90.00 gamma=90.00
Last column: nearest neighbours and their distance in Å.
Sites, in units of the cell vectors:
Te 0.0000 0.5000 0.0000  2 Mo 2.62
Te 0.5000 0.0000 0.0000  2 Mo 2.62
Mo 0.0000 0.0000 0.0000  4 Te 2.62
I 0.0000 0.0000 0.5000  2 Mo 2.94
N 0.5000 0.5000 0.5000  4 I 3.70, 8 Te 3.94

# 2
TeMoI2N | PBE | relaxed

## Properties
The value obtained for the density of states at the Fermi level is 2.719 states/eV/atom. As for the space group: P4/mmm, No. 123. Its excess energy over the best structure of this formula in the dataset is 1206 meV per atom.

Unit cell a=5.4319 b=5.4319 c=5.2008 alpha=90.00 beta=90.00 gamma=90.00
Last column: nearest neighbours and their distance in Å.
Sites, in units of the cell vectors:
Te 0.0000 0.0000 0.0000  2 Mo 2.60
Mo 0.0000 0.0000 0.5000  2 Te 2.60, 4 I 2.72
I 0.0000 0.5000 0.5000  2 Mo 2.72
I 0.5000 0.0000 0.5000  2 Mo 2.72
N 0.5000 0.5000 0.0000  8 I 3.76, 4 Te 3.84